1.
The following is a PBE calculation of a geometry-optimized BaCa2Be structure, from Alexandria.

a b c (Å): 7.196 7.196 6.010
angles (deg): 114.59 114.59 31.03
Atoms (fractional coordinates):
Ba 0.000 0.000 0.000
Ca 0.186 0.186 0.686
Ca 0.814 0.814 0.314
Be 0.500 0.500 0.500

* DOS at the Fermi energy: 3.57 states/eV per cell
* mass density: 2.60 Mg/m³
* total moment: 0.00 μB per formula unit
* E_form: 1.1 eV/f.u.

=====

2.
The following is a PBE calculation of a geometry-optimized YHoAgAu structure, from Alexandria.

a b c (Å): 5.106 5.106 5.106
angles (deg): 60.00 60.00 60.00
Atoms (fractional coordinates):
Y 0.000 0.000 0.000
Ho 0.500 0.500 0.500
Ag 0.250 0.250 0.250
Au 0.750 0.750 0.750

* DOS at the Fermi energy: 2.81 states/eV per cell
* mass density: 9.86 Mg/m³
* total moment: 0.00 μB per formula unit
* ΔE to the lowest computed polymorph: 7 meV/atom
* E_form: -2.4 eV/f.u.

=====

3.
The following is a PBE calculation of a geometry-optimized AcNdNi2H8 structure, from Alexandria.

a b c (Å): 7.482 7.482 7.482
angles (deg): 35.59 35.59 35.59
Atoms (fractional coordinates):
Ac 0.000 0.000 0.000
Nd 0.500 0.500 0.500
Ni 0.249 0.249 0.249
Ni 0.751 0.751 0.751
H 0.039 0.039 0.589
H 0.039 0.589 0.039
H 0.325 0.325 0.325
H 0.411 0.961 0.961
H 0.589 0.039 0.039
H 0.675 0.675 0.675
H 0.961 0.411 0.961
H 0.961 0.961 0.411

* DOS at the Fermi energy: 5.23 states/eV per cell
* mass density: 6.50 Mg/m³
* final energy: -4.25 eV/atom
* total moment: 0.00 μB per formula unit

=====

4.
The following is a PBE calculation of a geometry-optimized BaNiC2 structure, from Alexandria.

a b c (Å): 4.418 4.418 4.418
angles (deg): 60.00 60.00 60.00
Atoms (fractional coordinates):
Ba 0.000 0.000 0.000
Ni 0.500 0.500 0.500
C 0.250 0.250 0.250
C 0.750 0.750 0.750

* DOS at the Fermi energy: 1.64 states/eV per cell
* mass density: 5.99 Mg/m³
* total moment: 0.00 μB per formula unit
* E_form: 8.3 eV/f.u.

=====

5.
The following is a PBE calculation of a geometry-optimized AcErCdPb structure, from Alexandria.

a b c (Å): 5.581 5.581 5.581
angles (deg): 60.00 60.00 60.00
Atoms (fractional coordinates):
Ac 0.000 0.000 0.000
Er 0.500 0.500 0.500
Cd 0.750 0.750 0.750
Pb 0.250 0.250 0.250

* DOS at the Fermi energy: 3.74 states/eV per cell
* mass density: 9.65 Mg/m³
* total moment: 0.00 μB per formula unit
* E_form: -1.3 eV/f.u.

=====

6.
The following is a PBE calculation of a geometry-optimized Ba2InSn3Rh4 structure, from Alexandria.

a b c (Å): 4.652 4.652 11.015
angles (deg): 90.00 90.00 90.00
Atoms (fractional coordinates):
Ba 0.000 0.500 0.244
Ba 0.500 0.000 0.756
In 0.000 0.000 0.500
Sn 0.000 0.500 0.879
Sn 0.500 0.000 0.121
Sn 0.500 0.500 0.500
Rh 0.000 0.000 0.000
Rh 0.000 0.500 0.630
Rh 0.500 0.000 0.370
Rh 0.500 0.500 0.000

* DOS at the Fermi energy: 4.48 states/eV per cell
* mass density: 8.06 Mg/m³
* total moment: 0.00 μB per formula unit
* E_form: -5.7 eV/f.u.

=====

7.
The following is a PBE calculation of a geometry-optimized Ca2La2Pr5 structure, from Alexandria.

a b c (Å): 8.448 8.448 8.356
angles (deg): 107.69 107.69 36.71
Atoms (fractional coordinates):
Ca 0.222 0.222 0.335
Ca 0.778 0.778 0.665
La 0.337 0.337 0.006
La 0.663 0.663 0.994
Pr 0.000 0.000 0.000
Pr 0.104 0.104 0.671
Pr 0.451 0.451 0.670
Pr 0.549 0.549 0.330
Pr 0.896 0.896 0.329

* DOS at the Fermi energy: 13.74 states/eV per cell
* mass density: 5.22 Mg/m³
* total moment: 0.00 μB per formula unit
* E_form: 0.3 eV/f.u.

=====

8.
The following is a PBE calculation of a geometry-optimized K2HfF6 structure, from Alexandria.

a b c (Å): 5.622 5.622 11.388
angles (deg): 90.00 90.00 90.00
Atoms (fractional coordinates):
K 0.000 0.000 0.164
K 0.000 0.000 0.836
K 0.500 0.500 0.336
K 0.500 0.500 0.664
Hf 0.000 0.000 0.500
Hf 0.500 0.500 0.000
F 0.174 0.174 0.371
F 0.174 0.174 0.629
F 0.246 0.246 0.000
F 0.254 0.746 0.500
F 0.326 0.674 0.129
F 0.326 0.674 0.871
F 0.674 0.326 0.129
F 0.674 0.326 0.871
F 0.746 0.254 0.500
F 0.754 0.754 0.000
F 0.826 0.826 0.371
F 0.826 0.826 0.629

* DOS at the Fermi energy: 0.00 states/eV per cell
* mass density: 3.42 Mg/m³
* total moment: 0.16 μB per formula unit
* raw formation energy: -3.49 eV/atom

=====

9.
The following is a PBE calculation of a geometry-optimized Ba2NaAlSi2 structure, from Alexandria.

a b c (Å): 8.905 8.905 8.905
angles (deg): 133.35 65.67 136.52
Atoms (fractional coordinates):
Ba 0.166 0.239 0.405
Ba 0.334 0.739 0.073
Ba 0.666 0.261 0.927
Ba 0.834 0.761 0.595
Na 0.250 0.750 0.500
Na 0.750 0.250 0.500
Al 0.250 0.250 0.000
Al 0.750 0.750 0.000
Si 0.099 0.794 0.893
Si 0.401 0.294 0.695
Si 0.599 0.706 0.305
Si 0.901 0.206 0.107

* DOS at the Fermi energy: 1.38 states/eV per cell
* mass density: 3.63 Mg/m³
* total moment: 0.00 μB per formula unit
* raw formation energy: -0.28 eV/atom

=====

10.
The following is a PBE calculation of a geometry-optimized DyPa2Re structure, from Alexandria.

a b c (Å): 9.067 9.067 9.067
angles (deg): 24.02 24.02 24.02
Atoms (fractional coordinates):
Dy 0.000 0.000 0.000
Pa 0.230 0.230 0.230
Pa 0.770 0.770 0.770
Re 0.500 0.500 0.500

* DOS at the Fermi energy: 6.52 states/eV per cell
* mass density: 12.41 Mg/m³
* total moment: 0.00 μB per formula unit
* ΔE to the lowest computed polymorph: 160 meV/atom
* E_form: 1.2 eV/f.u.

=====

11.
The following is a PBE calculation of a geometry-optimized Sr3In structure, from Alexandria.

a b c (Å): 4.146 4.146 10.300
angles (deg): 90.00 90.00 90.00
Atoms (fractional coordinates):
Sr 0.000 0.000 0.000
Sr 0.500 0.500 0.310
Sr 0.500 0.500 0.690
In 0.000 0.000 0.500

* DOS at the Fermi energy: 3.83 states/eV per cell
* mass density: 3.54 Mg/m³
* total moment: 0.00 μB per formula unit
* E_form: -0.9 eV/f.u.

=====

12.
The following is a PBE calculation of a geometry-optimized K2MgBe structure, from Alexandria.

a b c (Å): 6.422 6.422 6.422
angles (deg): 132.36 132.36 69.66
Atoms (fractional coordinates):
K 0.250 0.750 0.500
K 0.750 0.250 0.500
Mg 0.000 0.000 0.000
Be 0.500 0.500 0.000

* DOS at the Fermi energy: 2.61 states/eV per cell
* mass density: 1.31 Mg/m³
* total moment: 0.00 μB per formula unit
* ΔE to the lowest computed polymorph: 244 meV/atom
* E_form: 2.9 eV/f.u.

=====

- Look up the total moment of the eleventh one.
  0.00 μB per formula unit

=====

- Look up the mass density of the seventh one.
  5.22 Mg/m³